Sr2PrVN4: relaxed, GGA-PBE.

total magnetization	0.00	μB per atom
energy relative to the elements, uncorrected	-8.298	eV per formula unit

Cell lengths 7.4803, 7.0856, 5.5559 Å; angles 90.00, 90.00, 90.00 degrees
Fractional positions:
Sr 0.2429 0.1640 0.0000
Sr 0.2571 0.8360 0.5000
Sr 0.7429 0.8360 0.5000
Sr 0.7571 0.1640 0.0000
Pr 0.0000 0.3750 0.5081
Pr 0.5000 0.6250 0.0081
V 0.0000 0.6735 0.0355
V 0.5000 0.3265 0.5355
N 0.0000 0.4196 0.9526
N 0.0000 0.6739 0.3591
N 0.2142 0.7982 0.9601
N 0.2858 0.2018 0.4601
N 0.5000 0.3261 0.8591
N 0.5000 0.5804 0.4526
N 0.7142 0.2018 0.4601
N 0.7858 0.7982 0.9601